(1)
Below is a relaxed Tl5Cd4Sn crystal, with properties calculated at the PBE-GGA level.

a = 17.033 Å, b = 3.531 Å, c = 9.651 Å
α = 90.00°, β = 99.62°, γ = 90.00°
Space group C2/m (No. 12)
Symmetry-distinct sites (fractional):
Tl 0.000 0.000 0.000 x2
Tl 0.139 0.500 0.725 x4
Tl 0.192 0.500 0.099 x4
Cd 0.051 0.500 0.269 x4
Cd 0.184 0.000 0.430 x4
Sn 0.000 0.000 0.500 x2

Properties
calculated formation energy: 0.053 eV/atom

=====

(2)
Below is a relaxed Tl3CdSn2 crystal, with properties calculated at the PBE-GGA level.

a = 5.529 Å, b = 17.323 Å, c = 3.605 Å
α = 90.00°, β = 90.00°, γ = 90.00°
Space group Cmmm (No. 65)
Symmetry-distinct sites (fractional):
Tl 0.000 0.000 0.000 x2
Tl 0.000 0.181 0.500 x4
Cd 0.000 0.500 0.500 x2
Sn 0.000 0.354 0.000 x4

Properties
calculated formation energy: 0.039 eV/atom

=====

(3)
Below is a relaxed Tl2Cd2Sn crystal, with properties calculated at the PBE-GGA level.

a = 4.008 Å, b = 4.008 Å, c = 18.512 Å
α = 90.00°, β = 90.00°, γ = 90.00°
Space group I4/mmm (No. 139)
Symmetry-distinct sites (fractional):
Tl 0.000 0.000 0.100 x4
Cd 0.000 0.500 0.250 x4
Sn 0.000 0.000 0.500 x2

Properties
calculated formation energy: 0.126 eV/atom

=====

(4)
Below is a relaxed Tl8Cd2Sn crystal, with properties calculated at the PBE-GGA level.

a = 5.316 Å, b = 8.389 Å, c = 14.823 Å
α = 90.00°, β = 90.00°, γ = 90.00°
Space group Immm (No. 71)
Symmetry-distinct sites (fractional):
Tl 0.000 0.000 0.146 x4
Tl 0.000 0.211 0.351 x8
Tl 0.000 0.306 0.000 x4
Cd 0.000 0.500 0.202 x4
Sn 0.000 0.500 0.500 x2

Properties
calculated formation energy: 0.055 eV/atom

=====

Which of these has the lowest calculated formation energy?
Tl3CdSn2

=====

Copy entry 1 word for word.
Below is a relaxed Tl5Cd4Sn crystal, with properties calculated at the PBE-GGA level.

a = 17.033 Å, b = 3.531 Å, c = 9.651 Å
α = 90.00°, β = 99.62°, γ = 90.00°
Space group C2/m (No. 12)
Symmetry-distinct sites (fractional):
Tl 0.000 0.000 0.000 x2
Tl 0.139 0.500 0.725 x4
Tl 0.192 0.500 0.099 x4
Cd 0.051 0.500 0.269 x4
Cd 0.184 0.000 0.430 x4
Sn 0.000 0.000 0.500 x2

Properties
calculated formation energy: 0.053 eV/atom

=====

Among the records above, which one has the highest calculated formation energy?
Tl2Cd2Sn

=====

Look up the calculated formation energy of the first one.
0.053 eV/atom